Record 1
Entry from Alexandria: a geometry-optimized Ba2Zn2Sb structure (PBE).

Cell and atoms, written as POSCAR:
```
Ba2Zn2Sb
1.0
-1.244 0.993 6.336
-3.878 -5.258 0.063
0.610 -4.459 4.187
Zn Ba Sb
2 2 1
Cartesian
-2.893 -5.900 7.093 Zn
-1.619 -2.823 3.493 Zn
-1.598 -2.799 6.861 Ba
-2.914 -5.925 3.725 Ba
0.000 0.000 0.000 Sb
```

## Properties
As for the crystal system: tetragonal. As for the energy relative to the elements, uncorrected: -0.273 eV/atom. Its offset from the most stable computed form is 142 meV per atom.

Record 2
Entry from Alexandria: a geometry-optimized K3Hg3Pb structure (PBE).

Cell and atoms, written as POSCAR:
```
K3Hg3Pb
1.0
5.018 0.000 0.756
2.469 6.612 0.642
0.153 0.131 16.022
K Hg Pb
6 6 2
Cartesian
5.694 5.004 13.306 K
4.094 4.389 6.888 K
2.831 2.089 15.278 K
3.545 2.354 10.532 K
4.809 4.655 2.143 K
1.946 1.739 4.114 K
6.226 4.672 9.775 Hg
0.699 1.208 12.391 Hg
2.817 5.926 15.370 Hg
4.823 0.817 2.051 Hg
1.414 2.071 7.646 Hg
6.941 5.535 5.029 Hg
4.044 0.534 7.222 Pb
3.596 6.209 10.199 Pb
```

## Properties
As for the formation energy: -0.223 eV per atom. As for the crystal system: monoclinic.

Record 3
Entry from Alexandria: a geometry-optimized LiCd3Ni structure (PBE).

Cell and atoms, written as POSCAR:
```
LiCd3Ni
1.0
-2.122 -3.285 3.063
3.066 -3.536 -1.668
3.283 1.178 3.538
Cd Li Ni
3 1 1
Cartesian
-1.061 -1.643 1.532 Cd
1.533 -1.768 -0.834 Cd
1.642 0.589 1.769 Cd
2.113 -2.822 2.466 Li
0.000 0.000 0.000 Ni
```

## Properties
As for the formation energy: 0.090 eV per atom. As for the crystal system: cubic. Its offset from the most stable computed form is 208 meV per atom.

Record 4
Entry from Alexandria: a geometry-optimized Mn8CrCo5 structure (PBE).

Cell and atoms, written as POSCAR:
```
Mn8CrCo5
1.0
5.663 0.288 -1.805
-2.953 4.840 -1.805
-0.152 -0.288 5.942
Mn Co Cr
8 5 1
Cartesian
1.522 0.813 2.370 Mn
0.393 -0.125 4.464 Mn
1.091 4.298 2.578 Mn
0.342 1.517 0.295 Mn
1.005 3.970 0.003 Mn
-0.882 2.837 3.296 Mn
3.289 3.990 -2.673 Mn
3.470 2.061 -1.005 Mn
3.884 1.347 2.727 Co
1.355 2.564 -1.805 Co
4.876 0.873 0.538 Co
2.464 2.588 1.163 Co
2.508 0.321 0.236 Co
-0.875 3.558 1.166 Cr
```

## Properties
As for the formation energy: 0.337 eV per atom. As for the crystal system: tetragonal.

Record 5
Entry from Alexandria: a geometry-optimized Tm3PaP4 structure (PBE).

Cell and atoms, written as POSCAR:
```
Tm3PaP4
1.0
-1.887 -2.943 1.849
3.169 -4.542 -3.995
3.746 1.116 5.599
Tm P Pa
3 4 1
Cartesian
2.514 -3.184 1.727 Tm
1.873 0.558 2.800 Tm
1.584 -2.271 -1.998 Tm
2.659 -1.762 4.139 P
5.186 -2.569 1.203 P
1.729 -0.857 0.401 P
2.369 -4.607 -0.686 P
-0.943 -1.472 0.925 Pa
```

## Properties
As for the formation energy: -1.536 eV per atom. As for the crystal system: orthorhombic.

Record 6
Entry from Alexandria: a geometry-optimized BeRe2Hg structure (PBE).

Cell and atoms, written as POSCAR:
```
BeRe2Hg
1.0
-1.310 0.763 2.246
1.367 -2.300 0.423
7.000 4.621 2.513
Re Hg Be
2 1 1
Cartesian
3.220 2.125 1.156 Re
0.280 0.185 0.101 Re
5.278 2.696 3.219 Hg
1.779 0.386 1.962 Be
```

## Properties
As for the formation energy: 0.612 eV per atom. As for the crystal system: orthorhombic. Its offset from the most stable computed form is 365 meV per atom.

Record 7
Entry from Alexandria: a geometry-optimized Ac2Cu2Sn structure (PBE).

Cell and atoms, written as POSCAR:
```
Ac2Cu2Sn
1.0
4.467 0.000 0.000
2.234 5.632 0.515
2.234 1.738 5.382
Ac Cu Sn
2 2 1
Cartesian
2.234 2.201 1.761 Ac
6.701 5.169 4.136 Ac
4.467 2.863 3.976 Cu
4.467 4.507 1.921 Cu
0.000 0.000 0.000 Sn
```

## Properties
As for the formation energy: -0.368 eV per atom. As for the crystal system: orthorhombic. Its offset from the most stable computed form is 19 meV per atom.

Record 8
Entry from Alexandria: a geometry-optimized BP2C3 structure (PBE).

Cell and atoms, written as POSCAR:
```
BP2C3
1.0
-2.971 -3.082 -0.873
2.135 -1.839 -0.771
1.574 -0.087 4.567
P C B
2 3 1
Cartesian
0.311 -1.053 3.375 P
-1.108 -3.675 0.166 P
-1.747 -2.720 1.653 C
-0.681 -1.599 1.931 C
-0.146 -2.242 -0.591 C
0.587 -1.993 0.847 B
```

## Properties
As for the formation energy: 0.503 eV per atom. As for the crystal system: monoclinic. Its offset from the most stable computed form is 194 meV per atom.

Record 9
Entry from Alexandria: a geometry-optimized Be3SiO structure (PBE).

Cell and atoms, written as POSCAR:
```
Be3SiO
1.0
3.598 0.000 0.000
0.000 3.598 0.000
0.000 0.000 3.598
Si Be O
1 3 1
Cartesian
1.799 1.799 1.799 Si
0.000 1.799 0.000 Be
0.000 0.000 1.799 Be
1.799 0.000 0.000 Be
0.000 0.000 0.000 O
```

## Properties
As for the crystal system: cubic. As for the energy relative to the elements, uncorrected: -0.338 eV/atom. Its offset from the most stable computed form is 0 meV per atom.

Record 10
Entry from Alexandria: a geometry-optimized DyHo6Er3Th2 structure (PBE).

Cell and atoms, written as POSCAR:
```
DyHo6Er3Th2
1.0
-2.767 5.158 -1.797
-3.086 -4.135 3.297
5.347 4.858 9.197
Ho Er Th Dy
6 3 2 1
Cartesian
-3.037 1.975 3.413 Ho
-0.310 5.978 7.173 Ho
-0.417 2.851 8.887 Ho
-0.195 -0.096 3.525 Ho
2.532 3.907 7.285 Ho
-0.088 3.031 1.811 Ho
-0.253 2.941 5.349 Er
-0.359 -0.159 7.048 Er
-0.146 6.041 3.649 Er
-2.873 2.061 -0.099 Th
-2.979 -1.037 1.599 Th
0.000 0.000 0.000 Dy
```

## Properties
As for the formation energy: 0.026 eV per atom. As for the crystal system: monoclinic.

Record 11
Entry from Alexandria: a geometry-optimized Rb3USn2S6 structure (PBE).

Cell and atoms, written as POSCAR:
```
Rb3USn2S6
1.0
-3.831 -3.074 5.437
7.277 -0.815 -0.260
-0.302 7.514 2.391
S U Rb Sn
6 1 3 2
Cartesian
-1.008 0.250 2.446 S
4.152 3.376 5.123 S
0.583 5.130 3.171 S
2.562 -1.505 4.398 S
0.762 2.686 6.862 S
2.383 0.939 0.707 S
0.000 0.000 0.000 U
5.186 2.548 1.931 Rb
1.572 1.813 3.784 Rb
-2.041 1.078 5.638 Rb
-0.115 -2.318 3.532 Sn
3.562 -1.570 1.646 Sn
```

## Properties
As for the crystal system: monoclinic. As for the energy relative to the elements, uncorrected: -1.064 eV/atom.

Record 12
Entry from Alexandria: a geometry-optimized CaY2NbPd structure (PBE).

Cell and atoms, written as POSCAR:
```
CaY2NbPd
1.0
5.405 0.000 0.000
0.000 5.349 0.000
0.000 0.000 5.405
Y Nb Ca Pd
2 1 1 1
Cartesian
0.000 0.000 2.703 Y
2.703 0.000 0.000 Y
2.703 2.675 2.703 Nb
0.000 2.675 0.000 Ca
0.000 0.000 0.000 Pd
```

## Properties
As for the formation energy: 0.382 eV per atom. As for the crystal system: tetragonal.

no.,magnetization (Bohr magnetons per cell),total energy (eV/cell)
1,0.000,-11.9
2,0.000,-18.9
3,0.000,-10.0
4,2.347,-113.8
5,0.000,-56.8
6,0.000,-26.5
7,0.000,-22.3
8,0.000,-42.2
9,0.000,-23.2
10,0.000,-60.3
11,1.003,-59.7
12,3.625,-28.3